1.
Material: YFeH3
Method: DFT, GGA-PBEsol
State: optimized geometry

```
5
Lattice="3.927 0.000 0.000 0.000 3.927 0.000 0.000 0.000 3.927" Properties=species:S:1:pos:R:3 pbc="T T T"
Y 0.000 0.000 0.000
Fe 1.963 1.963 1.963
H 0.000 0.000 1.963
H 0.000 1.963 0.000
H 1.963 0.000 0.000
```

Summary:
* final energy: -23.44 eV per formula unit
* volume: 12.1 Å³ per atom
* density: 4.05 g cm⁻³


2.
Material: ZnFe3H
Method: DFT, GGA-PBEsol
State: optimized geometry

```
5
Lattice="3.633 0.000 0.000 0.000 3.633 0.000 0.000 0.000 3.633" Properties=species:S:1:pos:R:3 pbc="T T T"
Zn 0.000 0.000 0.000
Fe 0.000 1.816 1.816
Fe 1.816 0.000 1.816
Fe 1.816 1.816 0.000
H 1.816 1.816 1.816
```

Summary:
* final energy: -31.98 eV per formula unit
* volume: 9.6 Å³ per atom
* density: 8.10 g cm⁻³


3.
Material: Zr2FeH2
Method: DFT, GGA-PBEsol
State: optimized geometry

```
5
Lattice="-1.549 1.549 5.967 1.549 -1.549 5.967 1.549 1.549 -5.967" Properties=species:S:1:pos:R:3 pbc="T T T"
Zr 0.000 0.000 1.595
Zr 0.000 0.000 10.338
Fe 0.000 0.000 5.967
H 1.549 0.000 2.983
H 0.000 1.549 2.983
```

Summary:
* final energy: -35.91 eV per formula unit
* volume: 11.5 Å³ per atom
* density: 6.96 g cm⁻³


4.
Material: Zr3FeH
Method: DFT, GGA-PBEsol
State: optimized geometry

```
5
Lattice="4.300 0.000 0.000 0.000 4.300 0.000 0.000 0.000 4.300" Properties=species:S:1:pos:R:3 pbc="T T T"
Zr 0.000 0.000 2.150
Zr 0.000 2.150 0.000
Zr 2.150 0.000 0.000
Fe 2.150 2.150 2.150
H 0.000 0.000 0.000
```

Summary:
* final energy: -39.42 eV per formula unit
* volume: 15.9 Å³ per atom
* density: 6.90 g cm⁻³


5.
Material: Hf2Fe
Method: DFT, GGA-PBEsol
State: optimized geometry

```
24
Lattice="0.000 5.908 5.908 5.908 0.000 5.908 5.908 5.908 0.000" Properties=species:S:1:pos:R:3 pbc="T T T"
Hf 0.000 0.000 0.000
Hf 2.954 2.954 0.000
Hf 2.954 0.000 2.954
Hf 4.431 4.431 2.201
Hf 4.431 2.201 4.431
Hf 6.661 4.431 4.431
Hf 7.385 7.385 5.155
Hf 7.385 5.155 7.385
Hf 9.615 7.385 7.385
Hf 0.000 2.954 2.954
Hf 2.201 4.431 4.431
Hf 4.431 6.661 4.431
Hf 4.431 4.431 6.661
Hf 5.155 7.385 7.385
Hf 7.385 9.615 7.385
Hf 7.385 7.385 9.615
Fe 9.276 5.493 5.493
Fe 2.539 2.539 2.539
Fe 6.322 6.322 2.539
Fe 6.322 2.539 6.322
Fe 5.493 9.276 5.493
Fe 5.493 5.493 9.276
Fe 9.276 9.276 9.276
Fe 2.539 6.322 6.322
```

Summary:
* final energy: -30.58 eV per formula unit
* volume: 17.2 Å³ per atom
* density: 13.30 g cm⁻³
* energy of formation: -0.20 eV/atom


6.
Material: HfFe2
Method: DFT, GGA-PBEsol
State: optimized geometry

```
6
Lattice="0.000 3.435 3.435 3.435 0.000 3.435 3.435 3.435 0.000" Properties=species:S:1:pos:R:3 pbc="T T T"
Hf 0.859 0.859 0.859
Hf 6.012 6.012 6.012
Fe 3.435 1.718 1.718
Fe 1.718 3.435 1.718
Fe 1.718 1.718 3.435
Fe 3.435 3.435 3.435
```

Summary:
* final energy: -29.50 eV per formula unit
* volume: 13.5 Å³ per atom
* density: 11.88 g cm⁻³
* energy of formation: -0.36 eV/atom


7.
Material: HfFe2
Method: DFT, GGA-PBEsol
State: optimized geometry

```
12
Lattice="4.853 0.000 0.000 -2.427 4.203 0.000 0.000 0.000 7.904" Properties=species:S:1:pos:R:3 pbc="T T T"
Hf 0.000 2.802 0.496
Hf 0.000 2.802 3.457
Hf 2.427 1.401 4.448
Hf 2.427 1.401 7.409
Fe 0.000 0.000 0.000
Fe 0.000 0.000 3.952
Fe 0.000 1.413 5.928
Fe -1.203 3.497 5.928
Fe 1.223 0.706 1.976
Fe 1.203 3.497 5.928
Fe 3.630 0.706 1.976
Fe 2.427 2.791 1.976
```

Summary:
* final energy: -29.47 eV per formula unit
* volume: 13.4 Å³ per atom
* density: 11.95 g cm⁻³
* energy of formation: -0.35 eV/atom


8.
Material: Na2HfFeHg
Method: DFT, GGA-PBEsol
State: optimized geometry

```
5
Lattice="5.106 0.000 0.000 0.000 5.106 0.000 0.000 0.000 5.392" Properties=species:S:1:pos:R:3 pbc="T T T"
Na 0.000 2.553 0.000
Na 2.553 0.000 0.000
Hf 0.000 0.000 2.696
Fe 2.553 2.553 2.696
Hg 0.000 0.000 0.000
```

Summary:
* final energy: -16.57 eV per formula unit
* volume: 28.1 Å³ per atom
* density: 5.68 g cm⁻³
* energy of formation: 1.25 eV/atom


- Look up the final energy of the second one.
  -31.98 eV per formula unit